# PBEsol Te3Ru, relaxed
# **Total DFT energy (no corrections)**: -4.4123 eV per atom
# **Uncorrected formation energy**: 775 meV per atom
data_Te3Ru
_space_group_name_H-M_alt 'P 1'
_space_group_IT_number 1
_space_group_name_Hall 'P 1'
_cell_length_a 5.6677
_cell_length_b 5.6677
_cell_length_c 5.6677
_cell_angle_alpha 90.00
_cell_angle_beta 90.00
_cell_angle_gamma 90.00
loop_
_atom_site_label
_atom_site_type_symbol
_atom_site_fract_x
_atom_site_fract_y
_atom_site_fract_z
Te1 Te 0.5000 0.0000 0.7500
Ru1 Ru 0.5000 0.5000 0.5000
Te2 Te 0.2500 0.5000 0.0000
Ru2 Ru 0.0000 0.0000 0.0000
Te3 Te 0.0000 0.7500 0.5000
Te4 Te 0.0000 0.2500 0.5000
Te5 Te 0.7500 0.5000 0.0000
Te6 Te 0.5000 0.0000 0.2500

---

# PBEsol TeRu4, relaxed
# **Total DFT energy (no corrections)**: -8.6090 eV per atom
# **Uncorrected formation energy**: 234 meV per atom
data_TeRu4
_space_group_name_H-M_alt 'P 1'
_space_group_IT_number 1
_space_group_name_Hall 'P 1'
_cell_length_a 3.8878
_cell_length_b 4.7421
_cell_length_c 4.7421
_cell_angle_alpha 80.33
_cell_angle_beta 65.80
_cell_angle_gamma 65.80
loop_
_atom_site_label
_atom_site_type_symbol
_atom_site_fract_x
_atom_site_fract_y
_atom_site_fract_z
Ru1 Ru 0.8154 0.5857 0.7836
Ru2 Ru 0.1846 0.4143 0.2164
Te1 Te 0.0000 0.0000 0.0000
Ru3 Ru 0.5990 0.2164 0.5857
Ru4 Ru 0.4010 0.7836 0.4143

---

# PBEsol TeRu3, relaxed
# **Total DFT energy (no corrections)**: -8.0402 eV per atom
# **Uncorrected formation energy**: 471 meV per atom
data_TeRu3
_space_group_name_H-M_alt 'P 1'
_space_group_IT_number 1
_space_group_name_Hall 'P 1'
_cell_length_a 3.0542
_cell_length_b 4.4257
_cell_length_c 5.2342
_cell_angle_alpha 115.01
_cell_angle_beta 106.96
_cell_angle_gamma 90.00
loop_
_atom_site_label
_atom_site_type_symbol
_atom_site_fract_x
_atom_site_fract_y
_atom_site_fract_z
Ru1 Ru 0.7268 0.7268 0.4536
Te1 Te 0.0000 0.5000 0.0000
Ru2 Ru 0.5000 0.0000 0.0000
Ru3 Ru 0.2732 0.2732 0.5464

---

# PBEsol TiTe3Ru, relaxed
# **Total DFT energy (no corrections)**: -4.9475 eV per atom
# **Uncorrected formation energy**: 867 meV per atom
data_TiTe3Ru
_space_group_name_H-M_alt 'P 1'
_space_group_IT_number 1
_space_group_name_Hall 'P 1'
_cell_length_a 5.1624
_cell_length_b 5.1624
_cell_length_c 5.1624
_cell_angle_alpha 90.00
_cell_angle_beta 90.00
_cell_angle_gamma 90.00
loop_
_atom_site_label
_atom_site_type_symbol
_atom_site_fract_x
_atom_site_fract_y
_atom_site_fract_z
Te1 Te 0.0000 0.5000 0.0000
Te2 Te 0.0000 0.0000 0.5000
Ru1 Ru 0.5000 0.5000 0.5000
Ti1 Ti 0.0000 0.0000 0.0000
Te3 Te 0.5000 0.0000 0.0000

---

# PBEsol TlTe2Ru, relaxed
# **Total DFT energy (no corrections)**: -4.8927 eV per atom
# **Relative energy among the computed polymorphs**: 0 meV per atom
# **Uncorrected formation energy**: 71 meV per atom
data_TlTe2Ru
_space_group_name_H-M_alt 'P 1'
_space_group_IT_number 1
_space_group_name_Hall 'P 1'
_cell_length_a 3.8859
_cell_length_b 4.8431
_cell_length_c 6.2299
_cell_angle_alpha 112.87
_cell_angle_beta 90.00
_cell_angle_gamma 90.00
loop_
_atom_site_label
_atom_site_type_symbol
_atom_site_fract_x
_atom_site_fract_y
_atom_site_fract_z
Te1 Te 0.0000 0.2979 0.5959
Tl1 Tl 0.0000 0.9684 0.9367
Ru1 Ru 0.5000 0.1574 0.3149
Te2 Te 0.5000 0.5818 0.1636

---

# PBEsol TlTe2Ru, relaxed
# **Total DFT energy (no corrections)**: -4.8632 eV per atom
# **Relative energy among the computed polymorphs**: 29 meV per atom
# **Uncorrected formation energy**: 100 meV per atom
data_TlTe2Ru
_space_group_name_H-M_alt 'P 1'
_space_group_IT_number 1
_space_group_name_Hall 'P 1'
_cell_length_a 3.1711
_cell_length_b 3.1711
_cell_length_c 9.5237
_cell_angle_alpha 90.00
_cell_angle_beta 90.00
_cell_angle_gamma 90.00
loop_
_atom_site_label
_atom_site_type_symbol
_atom_site_fract_x
_atom_site_fract_y
_atom_site_fract_z
Tl1 Tl 0.0000 0.0000 0.5464
Te1 Te 0.0000 0.0000 0.9212
Te2 Te 0.5000 0.5000 0.2575
Ru1 Ru 0.5000 0.5000 0.7749